No. 1
A plane-wave DFT calculation with GGA-PBEsol was carried out for SrY2Sc after structural relaxation. Values from VASP.

Results
Excess energy over the best structure of this formula in the dataset   0.0866 eV/atom
Spin magnetization   0.000 μB/atom
E_form   0.255 eV per atom
Crystal system   tetragonal
Total energy   -21.07 eV for the cell shown

The structure in Quantum ESPRESSO input format:
```
&SYSTEM
  ibrav = 0, nat = 4, ntyp = 3
/
ATOMIC_SPECIES
Sc 44.96 Sc.upf
Sr 87.62 Sr.upf
Y 88.91 Y.upf
CELL_PARAMETERS angstrom
-4.944 -0.827 -0.587
0.876 -2.016 -4.543
2.537 -3.067 4.654
ATOMIC_POSITIONS crystal
Sc 0.500 0.500 0.000
Sr 0.000 0.000 0.000
Y 0.750 0.250 0.500
Y 0.250 0.750 0.500
```

---

No. 2
A plane-wave DFT calculation with GGA-PBEsol was carried out for Cd2PtW after structural relaxation. Values from VASP.

Results
Excess energy over the best structure of this formula in the dataset   0.0354 eV/atom
Spin magnetization   0.000 μB/atom
E_form   0.509 eV per atom
Crystal system   tetragonal
Total energy   -21.13 eV for the cell shown

The structure in Quantum ESPRESSO input format:
```
&SYSTEM
  ibrav = 0, nat = 4, ntyp = 3
/
ATOMIC_SPECIES
W 183.84 W.upf
Pt 195.08 Pt.upf
Cd 112.41 Cd.upf
CELL_PARAMETERS angstrom
2.822 0.000 0.000
0.000 4.930 0.000
0.000 0.000 4.930
ATOMIC_POSITIONS crystal
W 0.500 0.000 0.000
Pt 0.500 0.500 0.500
Cd 0.000 0.000 0.500
Cd 0.000 0.500 0.000
```

---

No. 3
A plane-wave DFT calculation with GGA-PBEsol was carried out for HPdRhBr2 after structural relaxation. Values from VASP.

Results
Spin magnetization   0.000 μB/atom
Crystal system   tetragonal
Total energy   -18.73 eV for the cell shown

The structure in Quantum ESPRESSO input format:
```
&SYSTEM
  ibrav = 0, nat = 5, ntyp = 4
/
ATOMIC_SPECIES
H 1.01 H.upf
Rh 102.91 Rh.upf
Br 79.90 Br.upf
Pd 106.42 Pd.upf
CELL_PARAMETERS angstrom
-3.331 -0.226 -0.220
-0.265 -0.633 4.670
-0.356 4.666 0.612
ATOMIC_POSITIONS crystal
H 0.000 0.000 0.000
Rh 0.500 0.000 0.000
Br 0.000 0.000 0.500
Br 0.000 0.500 0.000
Pd 0.500 0.500 0.500
```

---

No. 4
A plane-wave DFT calculation with GGA-PBEsol was carried out for BeSe3Cl after structural relaxation. Values from VASP.

Results
Formation energy (no corrections)   27.69 kcal/mol of atoms
Spin magnetization   0.000 μB/atom
Crystal system   cubic
Total energy   -11.55 eV for the cell shown

The structure in Quantum ESPRESSO input format:
```
&SYSTEM
  ibrav = 0, nat = 5, ntyp = 3
/
ATOMIC_SPECIES
Be 9.01 Be.upf
Se 78.96 Se.upf
Cl 35.45 Cl.upf
CELL_PARAMETERS angstrom
-3.973 -1.816 2.084
0.462 -4.034 -2.634
2.725 -1.963 3.484
ATOMIC_POSITIONS crystal
Be 0.500 0.500 0.500
Se 0.000 0.500 0.000
Se 0.000 0.000 0.500
Se 0.500 0.000 0.000
Cl 0.000 0.000 0.000
```

---

No. 5
A plane-wave DFT calculation with GGA-PBEsol was carried out for Ti2CoH2 after structural relaxation. Values from VASP.

Results
Spin magnetization   0.139 μB/atom
Crystal system   tetragonal
Total energy   -33.24 eV for the cell shown

The structure in Quantum ESPRESSO input format:
```
&SYSTEM
  ibrav = 0, nat = 5, ntyp = 3
/
ATOMIC_SPECIES
H 1.01 H.upf
Co 58.93 Co.upf
Ti 47.87 Ti.upf
CELL_PARAMETERS angstrom
2.882 0.000 0.000
0.000 2.882 0.000
-1.441 -1.441 5.537
ATOMIC_POSITIONS crystal
H 0.250 0.750 0.500
H 0.750 0.250 0.500
Co 0.000 0.000 0.000
Ti 0.362 0.362 0.724
Ti 0.638 0.638 0.276
```

---

No. 6
A plane-wave DFT calculation with GGA-PBEsol was carried out for BIrPd2 after structural relaxation. Values from VASP.

Results
Spin magnetization   0.000 μB/atom
E_form   0.948 eV per atom
Crystal system   tetragonal
Total energy   -49.93 eV for the cell shown

The structure in Quantum ESPRESSO input format:
```
&SYSTEM
  ibrav = 0, nat = 8, ntyp = 3
/
ATOMIC_SPECIES
B 10.81 B.upf
Ir 192.22 Ir.upf
Pd 106.42 Pd.upf
CELL_PARAMETERS angstrom
4.605 0.000 0.000
0.000 4.605 0.000
-2.303 -2.303 6.067
ATOMIC_POSITIONS crystal
B 0.750 0.250 0.500
B 0.500 0.500 0.000
Ir 0.250 0.750 0.500
Ir 0.000 0.000 0.000
Pd 0.464 0.875 0.250
Pd 0.786 0.375 0.250
Pd 0.125 0.214 0.750
Pd 0.625 0.536 0.750
```